Material: MnAl2H2
Method: DFT, SCAN
State: single point on PBEsol structure

Computed properties:
- SG: I4/mmm

Geometry as CIF:
```
data_MnAl2H2
_chemical_formula_sum 'Mn1 Al2 H2'
_cell_length_a 2.723
_cell_length_b 2.723
_cell_length_c 6.582
_cell_angle_alpha 101.94
_cell_angle_beta 101.94
_cell_angle_gamma 90.00
_symmetry_space_group_name_H-M 'P 1'
_symmetry_Int_Tables_number 1
loop_
_symmetry_equiv_pos_as_xyz
'x,y,z'
loop_
_atom_site_label
_atom_site_type_symbol
_atom_site_fract_x
_atom_site_fract_y
_atom_site_fract_z
H1 H 0.250 0.750 0.500
H2 H 0.750 0.250 0.500
Mn1 Mn 0.000 0.000 0.000
Al1 Al 0.365 0.365 0.731
Al2 Al 0.635 0.635 0.269
```

Material: ZrRuAu2
Method: DFT, SCAN
State: single point on PBEsol structure

Computed properties:
- SG: P4/mmm

Geometry as CIF:
```
data_ZrRuAu2
_chemical_formula_sum 'Zr1 Ru1 Au2'
_cell_length_a 3.890
_cell_length_b 3.890
_cell_length_c 4.348
_cell_angle_alpha 90.00
_cell_angle_beta 90.00
_cell_angle_gamma 90.00
_symmetry_space_group_name_H-M 'P 1'
_symmetry_Int_Tables_number 1
loop_
_symmetry_equiv_pos_as_xyz
'x,y,z'
loop_
_atom_site_label
_atom_site_type_symbol
_atom_site_fract_x
_atom_site_fract_y
_atom_site_fract_z
Ru1 Ru 0.500 0.500 0.500
Au1 Au 0.000 0.500 0.000
Au2 Au 0.500 0.000 0.000
Zr1 Zr 0.000 0.000 0.500
```

Material: Sc2TlPt
Method: DFT, SCAN
State: single point on PBEsol structure

Computed properties:
- SG: Pmm2

Geometry as CIF:
```
data_Sc2TlPt
_chemical_formula_sum 'Sc2 Tl1 Pt1'
_cell_length_a 3.368
_cell_length_b 4.737
_cell_length_c 4.876
_cell_angle_alpha 90.00
_cell_angle_beta 89.97
_cell_angle_gamma 90.00
_symmetry_space_group_name_H-M 'P 1'
_symmetry_Int_Tables_number 1
loop_
_symmetry_equiv_pos_as_xyz
'x,y,z'
loop_
_atom_site_label
_atom_site_type_symbol
_atom_site_fract_x
_atom_site_fract_y
_atom_site_fract_z
Sc1 Sc 0.875 0.000 0.903
Sc2 Sc 0.875 0.500 0.351
Tl1 Tl 0.375 0.000 0.420
Pt1 Pt 0.375 0.500 0.825
```

The evaluated DFT total energy for the records listed, in turn: -40.678 -205.932 -174.653 eV per cell.
The evaluated size of the total moment for the records listed, in turn: 2.2 0.0 0.0 μB per formula unit.